Computed, not measured: a relaxed structure of Sc8ZnSn2 at the PBE-GGA level of DFT.

Properties
V ... 23.121 Å³/atom
Total magnetization ... 0.0 μB/cell
Space group ... C2/m
Theoretical density ... 4.33 g/cm3
Raw total energy ... -5.756 eV per atom

Lattice parameters (Å, degrees): 9.2246 9.2246 6.2420 105.53 105.53 29.89
With the nearest neighbours (Å) after each atom.
Fractional positions:
Sc 0.0171 0.0171 0.2764  2 Zn 2.82, 1 Sn 2.95, 1 Sc 3.02
Sc 0.2141 0.2141 0.8088  3 Sn 2.96-3.12, 2 Sc 3.10
Sc 0.3492 0.3492 0.5077  1 Zn 2.70, 3 Sn 2.95-3.02
Sc 0.4094 0.4094 0.0331  1 Zn 2.91, 2 Sn 3.11, 3 Sc 3.16-3.17
Sc 0.5906 0.5906 0.9669  1 Zn 2.91, 2 Sn 3.11, 3 Sc 3.16-3.17
Sc 0.6508 0.6508 0.4923  1 Zn 2.70, 3 Sn 2.95-3.02
Sc 0.7859 0.7859 0.1912  3 Sn 2.96-3.12, 2 Sc 3.10
Sc 0.9829 0.9829 0.7236  2 Zn 2.82, 1 Sn 2.95, 1 Sc 3.02
Zn 0.5000 0.5000 0.5000  8 Sc 2.70-2.91
Sn 0.1793 0.1793 0.2458  9 Sc 2.95-3.12
Sn 0.8207 0.8207 0.7542  9 Sc 2.95-3.12